Entry from Alexandria via LeMat-Bulk: a relaxed TiNbNi2Ir crystal (PBE).

Summary:
- Density of states at the Fermi level: 6.488 states/eV per cell
- VASP energy: -6.27 eV/atom
- Space group: P4/mmm, No. 123
- ΔH_f (0 K): 1405 meV per atom
- Calculated volume: 17.8 A^3/atom

Lattice parameters (Å, degrees): 4.3997 4.5968 4.3997 90.00 90.00 90.00
Last column: nearest neighbours and their distance in Å.
Sites, in units of the cell vectors:
1 Ir 0.5000 0.5000 0.5000  4 Ti 3.11, 8 Ni 3.18
2 Ni 0.5000 0.0000 0.0000  2 Nb 2.20
3 Ti 0.0000 0.5000 0.0000  2 Nb 2.30
4 Ni 0.0000 0.0000 0.5000  2 Nb 2.20
5 Nb 0.0000 0.0000 0.0000  4 Ni 2.20, 2 Ti 2.30